Below is crystalline TiMo3O at its relaxed geometry, with properties calculated at the PBE+U level.

Output
ΔE to the lowest computed polymorph = 0.000 eV per formula unit
SG = No. 221
Density of states at the Fermi level = 2.927 states/eV per cell
Crystal system = cubic

The structure in CIF format:
```
data_TiMo3O
_space_group_name_H-M_alt 'P 1'
_space_group_IT_number 1
_cell_length_a 4.2185
_cell_length_b 4.2185
_cell_length_c 4.2185
_cell_angle_alpha 90.00
_cell_angle_beta 90.00
_cell_angle_gamma 90.00
loop_
_space_group_symop_operation_xyz
'x,y,z'
loop_
_atom_site_label
_atom_site_type_symbol
_atom_site_fract_x
_atom_site_fract_y
_atom_site_fract_z
Ti1 Ti 0.5000 0.5000 0.5000
Mo1 Mo 0.0000 0.5000 0.0000
Mo2 Mo 0.0000 0.0000 0.5000
Mo3 Mo 0.5000 0.0000 0.0000
O1 O 0.0000 0.0000 0.0000
```